Record 1
A relaxed structure of CeSmZnCd, computed with GGA-PBE.

abc: 3.6529 3.6529 7.7495
angles: 90.00 90.00 90.00
Space group P4mm (No. 99)
Asymmetric unit:
Ce (0.0000, 0.0000, 0.0000) (multiplicity 1)
Sm (0.0000, 0.0000, 0.4593) (multiplicity 1)
Zn (0.5000, 0.5000, 0.2344) (multiplicity 1)
Cd (0.5000, 0.5000, 0.7242) (multiplicity 1)

relative energy among the computed polymorphs = 0.000 eV/f.u.


Record 2
A relaxed structure of Ce2Cd2Sn, computed with GGA-PBE.

abc: 16.1022 5.7585 5.6487
angles: 90.00 99.36 90.00
Space group C2/c (No. 15)
Asymmetric unit:
Ce (0.1027, 0.1368, 0.2948) (multiplicity 8)
Cd (0.2030, 0.3770, 0.8035) (multiplicity 8)
Sn (0.0000, 0.3522, 0.7500) (multiplicity 4)


Record 3
A relaxed structure of CeCd4Sn, computed with GGA-PBE.

abc: 8.4686 8.4686 8.4686
angles: 90.00 90.00 90.00
Space group F-43m (No. 216)
Asymmetric unit:
Ce (0.0000, 0.0000, 0.0000) (multiplicity 4)
Cd (0.1250, 0.1250, 0.6250) (multiplicity 16)
Sn (0.2500, 0.2500, 0.2500) (multiplicity 4)


Record 4
A relaxed structure of CeCd2Sn, computed with GGA-PBE.

abc: 4.5483 4.5483 4.9503
angles: 90.00 90.00 90.00
Space group P4/mmm (No. 123)
Asymmetric unit:
Ce (0.0000, 0.0000, 0.0000) (multiplicity 1)
Cd (0.0000, 0.5000, 0.5000) (multiplicity 2)
Sn (0.5000, 0.5000, 0.0000) (multiplicity 1)

relative energy among the computed polymorphs = 0.000 eV/f.u.


| no. | M_tot (μB/f.u.) | final energy (eV per atom) | energy of formation from the pure elements (meV/atom) |
| --- | --- | --- | --- |
| 1 | 0.97 | -3.44 | -231 |
| 2 | 2.33 | -3.80 | -259 |
| 3 | 1.22 | -2.34 | -76 |
| 4 | 0.88 | -3.31 | -366 |